1.
Here is FeCoTe2 after structural relaxation from Alexandria via LeMat-Bulk. Energies are from GGA-PBEsol.

POSCAR file:
```
FeCoTe2
1.0
3.5664 0.0000 0.0000
-1.7832 3.0886 0.0000
0.0000 0.0000 23.3070
Fe Co Te
3 3 6
direct
0.0000 0.0000 0.0000
0.3333 0.6667 0.6667
0.6667 0.3333 0.3333
0.0000 0.0000 0.5000
0.3333 0.6667 0.1667
0.6667 0.3333 0.8333
0.0000 0.0000 0.1057
0.0000 0.0000 0.8943
0.3333 0.6667 0.5609
0.3333 0.6667 0.7724
0.6667 0.3333 0.2276
0.6667 0.3333 0.4391
```

formation energy (no corrections) = 402 meV/atom
raw total energy = -22.1 eV per formula unit


2.
Here is ThFe3Co2 after structural relaxation from Alexandria via LeMat-Bulk. Energies are from GGA-PBEsol.

POSCAR file:
```
ThFe3Co2
1.0
4.9421 0.0000 0.0000
-2.4710 4.2800 0.0000
0.0000 0.0000 3.9935
Th Fe Co
1 3 2
direct
0.0000 0.0000 0.0000
0.0000 0.5000 0.5000
0.5000 0.0000 0.5000
0.5000 0.5000 0.5000
0.3333 0.6667 0.0000
0.6667 0.3333 0.0000
```

formation enthalpy at 0 K = -58 meV/atom
raw total energy = -50.8 eV per formula unit


3.
Here is Tl2FeCo after structural relaxation from Alexandria via LeMat-Bulk. Energies are from GGA-PBEsol.

POSCAR file:
```
Tl2FeCo
1.0
2.9990 0.0000 0.0000
0.0000 4.4105 0.0000
0.0000 0.0000 10.7936
Tl Fe Co
4 2 2
direct
0.0000 0.0000 0.0000
0.0000 0.5000 0.2178
0.5000 0.0000 0.7178
0.5000 0.5000 0.5000
0.0000 0.0000 0.4096
0.5000 0.5000 0.9096
0.0000 0.5000 0.7447
0.5000 0.0000 0.2447
```

formation enthalpy at 0 K = 514 meV/atom
distance to the lowest polymorph of the same formula = 0.0 meV/atom
raw total energy = -19.9 eV per formula unit


4.
Here is Tl2FeCo after structural relaxation from Alexandria via LeMat-Bulk. Energies are from GGA-PBEsol.

POSCAR file:
```
Tl2FeCo
1.0
4.5039 0.0000 0.0000
0.0000 4.5039 0.0000
0.0000 0.0000 3.1837
Tl Fe Co
2 1 1
direct
0.0000 0.5000 0.0000
0.5000 0.0000 0.0000
0.0000 0.0000 0.5000
0.5000 0.5000 0.5000
```

formation enthalpy at 0 K = 635 meV/atom
distance to the lowest polymorph of the same formula = 121.4 meV/atom
raw total energy = -19.4 eV per formula unit


5.
Here is TlFeCo2 after structural relaxation from Alexandria via LeMat-Bulk. Energies are from GGA-PBEsol.

POSCAR file:
```
TlFeCo2
1.0
3.6999 0.0000 0.0000
0.0000 3.6999 0.0000
0.0000 0.0000 7.6785
Tl Fe Co
2 2 4
direct
0.0000 0.0000 0.0000
0.5000 0.5000 0.5000
0.0000 0.5000 0.7500
0.5000 0.0000 0.2500
0.0000 0.0000 0.5000
0.0000 0.5000 0.2500
0.5000 0.0000 0.7500
0.5000 0.5000 0.0000
```

formation enthalpy at 0 K = 426 meV/atom
distance to the lowest polymorph of the same formula = 124.1 meV/atom
raw total energy = -25.4 eV per formula unit


6.
Here is Tl3FeCo after structural relaxation from Alexandria via LeMat-Bulk. Energies are from GGA-PBEsol.

POSCAR file:
```
Tl3FeCo
1.0
4.9170 0.0000 0.0000
0.0000 4.9170 0.0000
0.0000 0.0000 4.9170
Tl Fe Co
3 1 1
direct
0.0000 0.0000 0.5000
0.0000 0.5000 0.0000
0.5000 0.0000 0.0000
0.5000 0.5000 0.5000
0.0000 0.0000 0.0000
```

formation enthalpy at 0 K = 861 meV/atom
raw total energy = -20.3 eV per formula unit


7.
Here is Tl2FeCo after structural relaxation from Alexandria via LeMat-Bulk. Energies are from GGA-PBEsol.

POSCAR file:
```
Tl2FeCo
1.0
3.8734 0.0000 0.0000
0.0000 3.8734 0.0000
0.0000 0.0000 8.9039
Tl Fe Co
4 2 2
direct
0.0000 0.0000 0.0000
0.0000 0.5000 0.2500
0.5000 0.0000 0.7500
0.5000 0.5000 0.5000
0.0000 0.5000 0.7500
0.5000 0.0000 0.2500
0.0000 0.0000 0.5000
0.5000 0.5000 0.0000
```

formation enthalpy at 0 K = 690 meV/atom
distance to the lowest polymorph of the same formula = 176.3 meV/atom
raw total energy = -19.2 eV per formula unit


8.
Here is TlFeCo4 after structural relaxation from Alexandria via LeMat-Bulk. Energies are from GGA-PBEsol.

POSCAR file:
```
TlFeCo4
1.0
0.0000 3.3449 3.3449
3.3449 0.0000 3.3449
3.3449 3.3449 0.0000
Tl Fe Co
1 1 4
direct
0.0000 0.0000 0.0000
0.7500 0.7500 0.7500
0.3755 0.3755 0.3755
0.3755 0.3755 0.8734
0.3755 0.8734 0.3755
0.8734 0.3755 0.3755
```

formation enthalpy at 0 K = 316 meV/atom
raw total energy = -40.6 eV per formula unit


The calculation returns the following N(E_F) values, one per record and in order: 4.6 8.7 3.5 5.6 5.4 6.3 4.2 8.1 states/eV/f.u..